The following is a DFT calculation (PBE) of a geometry-optimized Ac4PbN structure.

abc: 6.6270 10.8001 6.8097
angles: 90.00 100.53 90.00
Fractional coordinates of all 12 atoms:
Ac (0.1520, 0.2500, 0.2491)
Ac (0.2275, 0.7500, 0.3659)
Ac (0.2831, 0.0542, 0.7511)
Ac (0.2831, 0.4458, 0.7511)
Ac (0.7169, 0.5542, 0.2489)
Ac (0.7169, 0.9458, 0.2489)
Ac (0.7725, 0.2500, 0.6341)
Ac (0.8480, 0.7500, 0.7509)
Pb (0.3824, 0.7500, 0.9052)
Pb (0.6176, 0.2500, 0.0948)
N (0.1417, 0.2500, 0.6064)
N (0.8583, 0.7500, 0.3936)

Calculated values
Energy relative to the elements, uncorrected in meV/atom: -469
Symmetry: P2_1/m (11)
E_tot in eV per atom: -5.214